[1]
The following is a PBE calculation of an optimized crystal structure of Ac2Zn2Pt5, from the Alexandria database.

Values from the calculation:
E_form = -0.742 eV per atom
mass density = 13.84 g cm⁻³

The structure in CIF format:
```
data_Ac2Zn2Pt5
_symmetry_space_group_name_H-M 'P 4/m m m'
_symmetry_Int_Tables_number 123
_symmetry_space_group_name_Hall '-P 4 2'
_cell_length_a 4.714
_cell_length_b 4.714
_cell_length_c 8.424
_cell_angle_alpha 90.00
_cell_angle_beta 90.00
_cell_angle_gamma 90.00
loop_
_atom_site_label
_atom_site_type_symbol
_atom_site_fract_x
_atom_site_fract_y
_atom_site_fract_z
Ac1 Ac 0.000 0.000 0.000
Ac2 Ac 0.000 0.000 0.500
Zn1 Zn 0.500 0.500 0.161
Pt1 Pt 0.000 0.500 0.264
Pt2 Pt 0.500 0.500 0.500
```

[2]
The following is a PBE calculation of an optimized crystal structure of AcZn4Pt2, from the Alexandria database.

Values from the calculation:
E_form = -0.671 eV per atom
mass density = 11.14 g cm⁻³

The structure in CIF format:
```
data_AcZn4Pt2
_symmetry_space_group_name_H-M 'P 42/m n m'
_symmetry_Int_Tables_number 136
_symmetry_space_group_name_Hall '-P 4n 2n'
_cell_length_a 7.882
_cell_length_b 7.882
_cell_length_c 4.217
_cell_angle_alpha 90.00
_cell_angle_beta 90.00
_cell_angle_gamma 90.00
loop_
_atom_site_label
_atom_site_type_symbol
_atom_site_fract_x
_atom_site_fract_y
_atom_site_fract_z
Ac1 Ac 0.000 0.000 0.000
Zn1 Zn 0.090 0.350 0.500
Pt1 Pt 0.218 0.782 0.500
```

The lowest mass density belongs to which entry? AcZn4Pt2

Please write out number 2 again, unchanged.
The following is a PBE calculation of an optimized crystal structure of AcZn4Pt2, from the Alexandria database.

Values from the calculation:
E_form = -0.671 eV per atom
mass density = 11.14 g cm⁻³

The structure in CIF format:
```
data_AcZn4Pt2
_symmetry_space_group_name_H-M 'P 42/m n m'
_symmetry_Int_Tables_number 136
_symmetry_space_group_name_Hall '-P 4n 2n'
_cell_length_a 7.882
_cell_length_b 7.882
_cell_length_c 4.217
_cell_angle_alpha 90.00
_cell_angle_beta 90.00
_cell_angle_gamma 90.00
loop_
_atom_site_label
_atom_site_type_symbol
_atom_site_fract_x
_atom_site_fract_y
_atom_site_fract_z
Ac1 Ac 0.000 0.000 0.000
Zn1 Zn 0.090 0.350 0.500
Pt1 Pt 0.218 0.782 0.500
```

Which of these has the highest E_form? AcZn4Pt2